Entry 1:
# Y4Mg2Cu | Alexandria via LeMat-Bulk | PBE | relaxed
# Size of the total moment: 0.001 μB/f.u.
# Calculated formation energy: 0.0637 eV per atom
# Polymorph energy (0 for the lowest one): 0 kJ/mol of formula units
data_Y4Mg2Cu
_chemical_formula_sum 'Y16 Mg8 Cu4'
_cell_length_a 6.926
_cell_length_b 6.926
_cell_length_c 17.074
_cell_angle_alpha 90.00
_cell_angle_beta 90.00
_cell_angle_gamma 90.00
_space_group_name_H-M_alt 'I 4/m c m'
_space_group_IT_number 140
_space_group_name_Hall '-I 4 2c'
loop_
_atom_site_label
_atom_site_fract_x
_atom_site_fract_y
_atom_site_fract_z
_atom_site_occupancy
Y1 0.166 0.334 0.161 1
Mg1 0.150 0.350 0.500 1
Cu1 0.000 0.000 0.250 1

Entry 2:
# Y3MgCu | Alexandria via LeMat-Bulk | PBE | relaxed
# Size of the total moment: 0.000 μB/f.u.
# Calculated formation energy: 0.0589 eV per atom
# Polymorph energy (0 for the lowest one): 13 kJ/mol of formula units
data_Y3MgCu
_chemical_formula_sum 'Y6 Mg2 Cu2'
_cell_length_a 4.901
_cell_length_b 4.901
_cell_length_c 11.704
_cell_angle_alpha 90.00
_cell_angle_beta 90.00
_cell_angle_gamma 90.00
_space_group_name_H-M_alt 'I 4 m m'
_space_group_IT_number 107
_space_group_name_Hall 'I 4 -2'
loop_
_atom_site_label
_atom_site_fract_x
_atom_site_fract_y
_atom_site_fract_z
_atom_site_occupancy
Y1 0.000 0.000 0.000 1
Y2 0.000 0.500 0.244 1
Mg1 0.000 0.000 0.432 1
Cu1 0.000 0.000 0.638 1

Entry 3:
# Y2Mg4Cu | Alexandria via LeMat-Bulk | PBE | relaxed
# Size of the total moment: 0.000 μB/f.u.
# Calculated formation energy: 0.0795 eV per atom
# Polymorph energy (0 for the lowest one): 85 kJ/mol of formula units
data_Y2Mg4Cu
_chemical_formula_sum 'Y16 Mg32 Cu8'
_cell_length_a 9.140
_cell_length_b 9.159
_cell_length_c 16.639
_cell_angle_alpha 90.00
_cell_angle_beta 90.00
_cell_angle_gamma 90.00
_space_group_name_H-M_alt 'F m m m'
_space_group_IT_number 69
_space_group_name_Hall '-F 2 2'
loop_
_atom_site_label
_atom_site_fract_x
_atom_site_fract_y
_atom_site_fract_z
_atom_site_occupancy
Y1 0.000 0.162 0.000 1
Y2 0.162 0.000 0.500 1
Mg1 0.000 0.166 0.330 1
Mg2 0.166 0.000 0.170 1
Cu1 0.250 0.250 0.250 1